The following is a GGA-PBE calculation of a relaxed NpSbH crystal, from Alexandria via LeMat-Bulk.

The density of states at the Fermi level comes out at 1.66 states/eV per atom.

It has space group I4mm (No. 107), with a = 3.172 Å, b = 3.172 Å, c = 11.286 Å, α = 90.00°, β = 90.00° and γ = 90.00°. The inequivalent atoms are Np at (0.000, 0.000, 0.000), Sb at (0.000, 0.000, 0.716) and H at (0.000, 0.000, 0.440).



The following is a GGA-PBE calculation of a relaxed Np3SbH crystal, from Alexandria via LeMat-Bulk.

The density of states at the Fermi level comes out at 2.91 states/eV per atom.

It has space group Pm-3m (No. 221), with a = 4.648 Å, b = 4.648 Å, c = 4.648 Å, α = 90.00°, β = 90.00° and γ = 90.00°. The inequivalent atoms are Np at (0.000, 0.000, 0.500), Sb at (0.500, 0.500, 0.500) and H at (0.000, 0.000, 0.000).



The following is a GGA-PBE calculation of a relaxed Np2SbH3 crystal, from Alexandria via LeMat-Bulk.

The density of states at the Fermi level comes out at 1.98 states/eV per atom.

It has space group C2/m (No. 12), with a = 13.810 Å, b = 4.005 Å, c = 6.655 Å, α = 90.00°, β = 112.70° and γ = 90.00°. The inequivalent atoms are Np at (0.008, 0.000, 0.202), Np at (0.167, 0.500, 0.613), Sb at (0.159, 0.500, 0.098), H at (0.003, 0.500, 0.350), H at (0.082, 0.000, 0.583) and H at (0.180, 0.000, 0.440).



The following is a GGA-PBE calculation of a relaxed Np4Sb2H crystal, from Alexandria via LeMat-Bulk.

The density of states at the Fermi level comes out at 3.75 states/eV per atom.

It has space group I4/mmm (No. 139), with a = 4.524 Å, b = 4.524 Å, c = 16.317 Å, α = 90.00°, β = 90.00° and γ = 90.00°. The inequivalent atoms are Np at (0.000, 0.000, 0.165), Np at (0.000, 0.500, 0.000), Sb at (0.000, 0.000, 0.357) and H at (0.000, 0.000, 0.000).



The following is a GGA-PBE calculation of a relaxed Np3SbH crystal, from Alexandria via LeMat-Bulk.

The density of states at the Fermi level comes out at 2.25 states/eV per atom.

It has space group P2_1 (No. 4), with a = 6.136 Å, b = 4.467 Å, c = 7.455 Å, α = 90.00°, β = 113.90° and γ = 90.00°. The inequivalent atoms are Np at (0.094, 0.000, 0.007), Np at (0.150, 0.498, 0.665), Np at (0.262, 0.999, 0.359), Sb at (0.472, 0.500, 0.174) and H at (0.061, 0.509, 0.336).



The following is a GGA-PBE calculation of a relaxed NpSbH crystal, from Alexandria via LeMat-Bulk.

The density of states at the Fermi level comes out at 1.47 states/eV per atom.

It has space group Pmmm (No. 47), with a = 3.950 Å, b = 4.214 Å, c = 6.808 Å, α = 90.00°, β = 90.00° and γ = 90.00°. The inequivalent atoms are Np at (0.000, 0.000, 0.174), Sb at (0.000, 0.500, 0.500), Sb at (0.500, 0.500, 0.000) and H at (0.500, 0.000, 0.289).



The following is a GGA-PBE calculation of a relaxed NpSbH crystal, from Alexandria via LeMat-Bulk.

The density of states at the Fermi level comes out at 1.78 states/eV per atom.

It has space group P-6m2 (No. 187), with a = 3.8037 Å, b = 3.8037 Å, c = 4.5419 Å, α = 90.00°, β = 90.00° and γ = 120.00°. The inequivalent atoms are Np at (0.0000, 0.0000, 0.0000), Sb at (0.6667, 0.3333, 0.5000) and H at (0.3333, 0.6667, 0.0000).



The following is a GGA-PBE calculation of a relaxed Np4SbH4 crystal, from Alexandria via LeMat-Bulk.

The density of states at the Fermi level comes out at 1.70 states/eV per atom.

It has space group I4/m (No. 87), with a = 7.813 Å, b = 7.813 Å, c = 4.548 Å, α = 90.00°, β = 90.00° and γ = 90.00°. The inequivalent atoms are Np at (0.119, 0.312, 0.000), Sb at (0.000, 0.000, 0.500) and H at (0.120, 0.346, 0.500).



Number 1: final energy -6.894 eV per atom, total moment 4.573 μB/f.u.. Number 2: final energy -9.247 eV per atom, total moment 12.858 μB/f.u.. Number 3: final energy -6.900 eV per atom, total moment 0.256 μB/f.u.. Number 4: final energy -9.089 eV per atom, total moment 18.901 μB/f.u.. Number 5: final energy -9.286 eV per atom, total moment 1.597 μB/f.u.. Number 6: final energy -6.784 eV per atom, total moment 1.274 μB/f.u.. Number 7: final energy -7.068 eV per atom, total moment 3.628 μB/f.u.. Number 8: final energy -7.754 eV per atom, total moment 17.764 μB/f.u..